# 1
## TiFeNi2 (PBE)

Data for a geometry-optimized TiFeNi2 structure.

Cell: 3.4962 3.4962 16.9538 Å, 90.00 90.00 90.00°
Closest atoms and distances in Å follow each position.
Space group I-42d (No. 122)
Unique sites:
Ti  0.0000  0.0000  0.0000 x4  4 Ni 2.47, 4 Fe 2.47
Fe  0.0000  0.0000  0.5000 x4  4 Ni 2.44, 4 Ti 2.47
Ni  0.2387  0.2500  0.6250 x8  4 Ni 2.42-2.53, 2 Fe 2.44, 2 Ti 2.47

Results
DOS at the Fermi energy	0.9070	states/eV per atom
total magnetic moment	7.057	μB per cell
E_form	0.163	eV per atom
crystal system	tetragonal

# 2
## SrHgOs2 (PBE)

Data for a geometry-optimized SrHgOs2 structure.

Cell: 6.0749 9.4663 2.7014 Å, 90.00 90.00 90.00°
Closest atoms and distances in Å follow each position.
Space group Cmmm (No. 65)
Unique sites:
Sr  0.0000  0.0000  0.0000 x2  2 Sr 2.70
Hg  0.0000  0.5000  0.0000 x2  2 Hg 2.70
Os  0.2500  0.2500  0.5000 x4  2 Os 2.70

Results
DOS at the Fermi energy	0.8209	states/eV per atom
total magnetic moment	0.000	μB per cell
E_form	1.127	eV per atom
crystal system	orthorhombic